## A
DFT (GGA-PBE) results for an optimized crystal structure of Ta2FeBi2.

Cell and atoms, written as POSCAR:
```
Ta2FeBi2
1.0
-1.8511 1.8511 8.4681
1.8511 -1.8511 8.4681
1.8511 1.8511 -8.4681
Ta Fe Bi
2 1 2
Direct
0.2500 0.7500 0.5000
0.7500 0.2500 0.5000
0.0000 0.0000 0.0000
0.4018 0.4018 0.0000
0.5982 0.5982 0.0000
```

=====

## B
DFT (GGA-PBE) results for an optimized crystal structure of Ta2FeBi2.

Cell and atoms, written as POSCAR:
```
Ta2FeBi2
1.0
7.7274 0.0000 0.0000
0.0000 7.7274 0.0000
0.0000 0.0000 3.6553
Ta Fe Bi
4 2 4
Direct
0.1290 0.3710 0.0000
0.3710 0.8710 0.0000
0.6290 0.1290 0.0000
0.8710 0.6290 0.0000
0.0000 0.0000 0.5000
0.5000 0.5000 0.5000
0.1647 0.6647 0.5000
0.3353 0.1647 0.5000
0.6647 0.8353 0.5000
0.8353 0.3353 0.5000
```

=====

Which of them is the most stable, and which is the least stable? B and A, in that order.

=====

## A
DFT (GGA-PBE) results for an optimized crystal structure of TaFeBi2.

Cell and atoms, written as POSCAR:
```
TaFeBi2
1.0
0.0000 3.4444 3.4444
3.4444 0.0000 3.4444
3.4444 3.4444 0.0000
Ta Fe Bi
1 1 2
Direct
0.0000 0.0000 0.0000
0.5000 0.5000 0.5000
0.2500 0.2500 0.2500
0.7500 0.7500 0.7500
```

=====

## B
DFT (GGA-PBE) results for an optimized crystal structure of TaFeBi2.

Cell and atoms, written as POSCAR:
```
TaFeBi2
1.0
-3.8719 3.8719 2.9585
3.8719 -3.8719 2.9585
3.8719 3.8719 -2.9585
Ta Fe Bi
2 2 4
Direct
0.0000 0.0000 0.0000
0.7500 0.2500 0.5000
0.2500 0.7500 0.5000
0.5000 0.5000 0.0000
0.1746 0.6250 0.0496
0.3750 0.4246 0.5496
0.5754 0.1250 0.9504
0.8750 0.8254 0.4504
```

=====

Which of them is the most stable, and which is the least stable? A and B, in that order.

=====

## A
DFT (GGA-PBE) results for an optimized crystal structure of Ta3FeBi.

Cell and atoms, written as POSCAR:
```
Ta3FeBi
1.0
5.0744 0.0000 0.0000
0.0000 5.0744 0.0000
0.0000 0.0000 5.0744
Ta Fe Bi
3 1 1
Direct
0.0000 0.0000 0.5000
0.0000 0.5000 0.0000
0.5000 0.0000 0.0000
0.5000 0.5000 0.5000
0.0000 0.0000 0.0000
```

=====

## B
DFT (GGA-PBE) results for an optimized crystal structure of Ta3FeBi.

Cell and atoms, written as POSCAR:
```
Ta3FeBi
1.0
4.6700 0.0000 0.0000
0.0000 4.6700 0.0000
0.0000 0.0000 4.6700
Ta Fe Bi
3 1 1
Direct
0.0000 0.0000 0.5000
0.0000 0.5000 0.0000
0.5000 0.0000 0.0000
0.0000 0.0000 0.0000
0.5000 0.5000 0.5000
```

=====

Which of them is the most stable, and which is the least stable? B and A, in that order.

=====

## A
DFT (GGA-PBE) results for an optimized crystal structure of FeTcBi2.

Cell and atoms, written as POSCAR:
```
FeTcBi2
1.0
-3.1096 3.1096 6.1237
3.1096 -3.1096 6.1237
3.1096 3.1096 -6.1237
Fe Tc Bi
2 2 4
Direct
0.0000 0.0000 0.0000
0.7500 0.2500 0.5000
0.2500 0.7500 0.5000
0.5000 0.5000 0.0000
0.1235 0.6250 0.9985
0.3750 0.3735 0.4985
0.6265 0.1250 0.0015
0.8750 0.8765 0.5015
```

=====

## B
DFT (GGA-PBE) results for an optimized crystal structure of FeTcBi2.

Cell and atoms, written as POSCAR:
```
FeTcBi2
1.0
0.0000 3.3588 3.3588
3.3588 0.0000 3.3588
3.3588 3.3588 0.0000
Fe Tc Bi
1 1 2
Direct
0.0000 0.0000 0.0000
0.5000 0.5000 0.5000
0.2500 0.2500 0.2500
0.7500 0.7500 0.7500
```

=====

Which of them is the most stable, and which is the least stable? B and A, in that order.

=====

## A
DFT (GGA-PBE) results for an optimized crystal structure of Fe2BiTe.

Cell and atoms, written as POSCAR:
```
Fe2BiTe
1.0
-2.9058 2.9058 5.7196
2.9058 -2.9058 5.7196
2.9058 2.9058 -5.7196
Fe Bi Te
4 2 2
Direct
0.1071 0.6250 0.9821
0.3750 0.3571 0.4821
0.6429 0.1250 0.0179
0.8750 0.8929 0.5179
0.2500 0.7500 0.5000
0.5000 0.5000 0.0000
0.0000 0.0000 0.0000
0.7500 0.2500 0.5000
```

=====

## B
DFT (GGA-PBE) results for an optimized crystal structure of Fe2BiTe.

Cell and atoms, written as POSCAR:
```
Fe2BiTe
1.0
0.0000 3.3409 3.3409
3.3409 0.0000 3.3409
3.3409 3.3409 0.0000
Fe Bi Te
2 1 1
Direct
0.2500 0.2500 0.2500
0.7500 0.7500 0.7500
0.0000 0.0000 0.0000
0.5000 0.5000 0.5000
```

=====

Which of them is the most stable, and which is the least stable? B and A, in that order.

=====

## A
DFT (GGA-PBE) results for an optimized crystal structure of Th3FeBi.

Cell and atoms, written as POSCAR:
```
Th3FeBi
1.0
5.0064 0.0000 0.0000
0.0000 5.1892 0.0000
-0.0079 0.0000 11.2056
Th Fe Bi
6 2 2
Direct
0.9997 0.2500 0.1128
0.0003 0.2500 0.6266
0.9997 0.7500 0.3734
0.0003 0.7500 0.8872
0.4999 0.2500 0.3572
0.5001 0.7500 0.6428
0.0001 0.2500 0.3556
0.9999 0.7500 0.6444
0.5004 0.2500 0.8641
0.4996 0.7500 0.1359
```

=====

## B
DFT (GGA-PBE) results for an optimized crystal structure of Th3FeBi.

Cell and atoms, written as POSCAR:
```
Th3FeBi
1.0
5.2628 0.0000 0.0000
0.0000 5.2628 0.0000
0.0000 0.0000 5.2628
Th Fe Bi
3 1 1
Direct
0.0000 0.0000 0.5000
0.0000 0.5000 0.0000
0.5000 0.0000 0.0000
0.0000 0.0000 0.0000
0.5000 0.5000 0.5000
```

=====

Which of them is the most stable, and which is the least stable? B and A, in that order.

=====

## A
DFT (GGA-PBE) results for an optimized crystal structure of Th6FeBi.

Cell and atoms, written as POSCAR:
```
Th6FeBi
1.0
5.0003 2.8869 2.8805
-5.0003 2.8869 2.8805
0.0000 -5.7738 2.8805
Th Fe Bi
6 1 1
Direct
0.2083 0.2083 0.5906
0.2083 0.5906 0.2083
0.4094 0.7917 0.7917
0.5906 0.2083 0.2083
0.7917 0.4094 0.7917
0.7917 0.7917 0.4094
0.5000 0.5000 0.5000
0.0000 0.0000 0.0000
```

=====

## B
DFT (GGA-PBE) results for an optimized crystal structure of Th6FeBi.

Cell and atoms, written as POSCAR:
```
Th6FeBi
1.0
3.8073 0.0000 0.0000
0.0000 5.4349 5.8584
0.0000 -5.4349 5.8584
Th Fe Bi
6 1 1
Direct
0.0000 0.0000 0.0000
0.0000 0.0876 0.4306
0.0000 0.4306 0.0876
0.5000 0.2738 0.7577
0.5000 0.7493 0.7493
0.5000 0.7577 0.2738
0.5000 0.1660 0.1660
0.0000 0.5079 0.5079
```

=====

Which of them is the most stable, and which is the least stable? A and B, in that order.

=====

## A
DFT (GGA-PBE) results for an optimized crystal structure of Ti6FeBi3.

Cell and atoms, written as POSCAR:
```
Ti6FeBi3
1.0
5.4949 -3.0396 0.0000
5.4949 3.0396 0.0000
-3.2538 0.0000 6.5381
Ti Fe Bi
6 1 3
Direct
0.1418 0.6528 0.6092
0.2890 0.2890 0.2224
0.3472 0.8582 0.3908
0.6528 0.1418 0.6092
0.7110 0.7110 0.7776
0.8582 0.3472 0.3908
0.5000 0.5000 0.5000
0.0000 0.0000 0.0000
0.2258 0.2258 0.7790
0.7742 0.7742 0.2210
```

=====

## B
DFT (GGA-PBE) results for an optimized crystal structure of Ti6FeBi3.

Cell and atoms, written as POSCAR:
```
Ti6FeBi3
1.0
8.7919 0.0000 0.0000
0.0000 4.5724 0.0000
-4.0813 0.0000 9.8041
Ti Fe Bi
12 2 6
Direct
0.0271 0.2500 0.4274
0.2187 0.7500 0.1440
0.2688 0.2500 0.0012
0.3583 0.2500 0.2947
0.4028 0.7500 0.8890
0.4534 0.2500 0.6112
0.5466 0.7500 0.3888
0.5972 0.2500 0.1110
0.6417 0.7500 0.7053
0.7312 0.7500 0.9988
0.7813 0.2500 0.8560
0.9729 0.7500 0.5726
0.4684 0.7500 0.1409
0.5316 0.2500 0.8591
0.0002 0.2500 0.1397
0.9998 0.7500 0.8603
0.1965 0.2500 0.7127
0.2645 0.7500 0.4578
0.7355 0.2500 0.5422
0.8035 0.7500 0.2873
```

=====

Which of them is the most stable, and which is the least stable? B and A, in that order.